No. 1
Compound: SmEr2Tm9
Source: the Alexandria database
Functional: PBE
Structure: optimized geometry

Cell and atoms, written as POSCAR:
```
SmEr2Tm9
1.0
4.953 0.000 0.000
0.000 4.953 0.000
0.000 0.000 14.861
Sm Er Tm
1 2 9
Direct
0.000 0.000 0.000 Sm
0.000 0.000 0.334 Er
0.000 0.000 0.666 Er
0.000 0.500 0.168 Tm
0.000 0.500 0.500 Tm
0.000 0.500 0.832 Tm
0.500 0.000 0.168 Tm
0.500 0.000 0.500 Tm
0.500 0.000 0.832 Tm
0.500 0.500 0.000 Tm
0.500 0.500 0.335 Tm
0.500 0.500 0.665 Tm
```

Values from the calculation:
* SG: P4/mmm
* relative energy among the computed polymorphs: 0 meV per atom

No. 2
Compound: Sm4ErTm5
Source: the Alexandria database
Functional: PBE
Structure: optimized geometry

Cell and atoms, written as POSCAR:
```
Sm4ErTm5
1.0
-5.308 5.308 2.926
5.308 -5.308 2.926
5.308 5.308 -2.926
Sm Er Tm
4 1 5
Direct
0.000 0.322 0.322 Sm
0.000 0.678 0.678 Sm
0.322 0.000 0.322 Sm
0.678 0.000 0.678 Sm
0.241 0.241 0.000 Er
0.313 0.313 0.622 Tm
0.313 0.691 0.000 Tm
0.691 0.313 0.000 Tm
0.691 0.691 0.378 Tm
0.763 0.763 0.000 Tm
```

Values from the calculation:
* SG: I4mm

No. 3
Compound: Sm4ErTm
Source: the Alexandria database
Functional: PBE
Structure: optimized geometry

Cell and atoms, written as POSCAR:
```
Sm4ErTm
1.0
5.804 -5.804 0.000
5.804 5.804 0.000
0.000 0.000 3.447
Sm Er Tm
4 1 1
Direct
0.239 0.761 0.000 Sm
0.260 0.260 0.500 Sm
0.740 0.740 0.500 Sm
0.761 0.239 0.000 Sm
0.500 0.500 0.000 Er
0.000 0.000 0.500 Tm
```

Values from the calculation:
* SG: Cmmm
* relative energy among the computed polymorphs: 628 meV per atom

No. 4
Compound: Sm3Er3Tm4
Source: the Alexandria database
Functional: PBE
Structure: optimized geometry

Cell and atoms, written as POSCAR:
```
Sm3Er3Tm4
1.0
3.642 0.000 0.000
0.000 6.589 6.611
0.000 -6.589 6.611
Sm Er Tm
3 3 4
Direct
0.000 0.000 0.000 Sm
0.000 0.499 0.846 Sm
0.000 0.846 0.499 Sm
0.000 0.347 0.347 Er
0.500 0.174 0.669 Er
0.500 0.669 0.174 Er
0.500 0.051 0.299 Tm
0.500 0.299 0.051 Tm
0.500 0.547 0.547 Tm
0.500 0.798 0.798 Tm
```

Values from the calculation:
* SG: Amm2

No. 5
Compound: Sm3Er5Tm4
Source: the Alexandria database
Functional: PBE
Structure: optimized geometry

Cell and atoms, written as POSCAR:
```
Sm3Er5Tm4
1.0
6.109 0.000 0.000
0.018 7.061 0.000
0.010 0.000 8.636
Sm Er Tm
3 5 4
Direct
0.000 0.000 0.000 Sm
0.166 0.251 0.334 Sm
0.834 0.749 0.666 Sm
0.000 0.500 0.000 Er
0.335 0.000 0.667 Er
0.499 0.749 0.000 Er
0.501 0.251 0.000 Er
0.665 0.000 0.333 Er
0.168 0.749 0.334 Tm
0.334 0.500 0.667 Tm
0.666 0.500 0.333 Tm
0.832 0.251 0.666 Tm
```

Values from the calculation:
* SG: P-1
* relative energy among the computed polymorphs: 0 meV per atom

No. 6
Compound: Sm7Er3Tm2
Source: the Alexandria database
Functional: PBE
Structure: optimized geometry

Cell and atoms, written as POSCAR:
```
Sm7Er3Tm2
1.0
6.394 0.000 0.000
0.000 3.555 0.000
-0.058 0.000 17.244
Sm Er Tm
7 3 2
Direct
0.000 0.000 0.000 Sm
0.176 0.500 0.170 Sm
0.242 0.500 0.495 Sm
0.323 0.000 0.833 Sm
0.677 0.000 0.167 Sm
0.758 0.500 0.505 Sm
0.824 0.500 0.830 Sm
0.000 0.000 0.341 Er
0.000 0.000 0.659 Er
0.500 0.500 0.000 Er
0.489 0.500 0.671 Tm
0.511 0.500 0.329 Tm
```

Values from the calculation:
* SG: P2/m
* relative energy among the computed polymorphs: 0 meV per atom

no.,total energy (eV/atom),total moment (μB per formula unit)
1,-4.4804,0.00
2,-4.3306,0.00
3,-4.0037,0.00
4,-4.4784,0.00
5,-4.5494,0.00
6,-4.5629,0.00